No. 1
Density functional theory data (PBE) for a geometry-optimized Ga2Cu structure.

a = 3.5785 Å, b = 3.5785 Å, c = 4.5079 Å
α = 114.16°, β = 114.16°, γ = 87.58°
Closest atoms and distances in Å follow each position.
Fractional coordinates of all 3 atoms:
Ga  0.1689  0.1689  0.3355  1 Cu 2.47, 3 Ga 2.49-2.76
Ga  0.8311  0.8311  0.6645  1 Cu 2.47, 3 Ga 2.49-2.76
Cu  0.5000  0.5000  0.0000  2 Ga 2.47

Values from the calculation:
The formation enthalpy at 0 K is 0.018 eV/atom. The calculation puts the density at 7095 kg/m³. Its space-group type is No. 12. The density of states at the Fermi level comes out at 0.73 states/eV per cell.

No. 2
Density functional theory data (PBE) for a geometry-optimized Ga5Cu6 structure.

a = 6.2962 Å, b = 6.2962 Å, c = 4.8145 Å
α = 98.41°, β = 98.41°, γ = 118.85°
Closest atoms and distances in Å follow each position.
Fractional coordinates of all 11 atoms:
Ga  0.0000  0.0000  0.0000  6 Cu 2.50-2.61
Ga  0.1576  0.8424  0.5000  6 Cu 2.51-2.77, 2 Ga 2.73
Ga  0.2755  0.7245  0.0000  2 Cu 2.44, 2 Ga 2.73
Ga  0.7245  0.2755  0.0000  2 Cu 2.44, 2 Ga 2.73
Ga  0.8424  0.1576  0.5000  6 Cu 2.51-2.77, 2 Ga 2.73
Cu  0.2053  0.4361  0.3117  3 Ga 2.44-2.51, 4 Cu 2.48-2.71
Cu  0.3316  0.3316  0.7861  5 Cu 2.52-2.71, 5 Ga 2.61-2.77
Cu  0.4361  0.2053  0.3117  3 Ga 2.44-2.51, 4 Cu 2.48-2.71
Cu  0.5639  0.7947  0.6883  3 Ga 2.44-2.51, 4 Cu 2.48-2.71
Cu  0.6684  0.6684  0.2139  5 Cu 2.52-2.71, 5 Ga 2.61-2.77
Cu  0.7947  0.5639  0.6883  3 Ga 2.44-2.51, 4 Cu 2.48-2.71

Values from the calculation:
The formation enthalpy at 0 K is 0.008 eV/atom. The calculation puts the density at 7570 kg/m³. Its space-group type is No. 12. The density of states at the Fermi level comes out at 2.97 states/eV per cell.